No. 1
BaIr4Pt | PBE-GGA | optimized geometry

abc: 5.406 5.406 5.406
angles: 60.00 60.00 60.00
Sites, in units of the cell vectors:
Ba: 0.000 0.000 0.000
Ir: 0.872 0.376 0.376
Ir: 0.376 0.376 0.872
Ir: 0.376 0.872 0.376
Ir: 0.376 0.376 0.376
Pt: 0.750 0.750 0.750

Results
**Theoretical density**: 16.369 g/cm3
**E**: -6.7534 eV per atom
**Calculated volume**: 18.62 Å³ per atom

***

No. 2
Pu2CdPd | PBE-GGA | optimized geometry

abc: 4.744 4.339 4.339
angles: 90.00 90.00 90.00
Sites, in units of the cell vectors:
Cd: 0.500 0.000 0.000
Pd: 0.500 0.500 0.500
Pu: 0.000 0.000 0.500
Pu: 0.000 0.500 0.000

Results
**Theoretical density**: 13.139 g/cm3
**E**: -8.8579 eV per atom
**Calculated volume**: 22.33 Å³ per atom
**Energy relative to the lowest polymorph listed for this composition**: 12.0 meV/atom

***

No. 3
LaAl2Te2 | PBE-GGA | optimized geometry

abc: 5.641 5.641 5.898
angles: 61.43 61.43 90.00
Sites, in units of the cell vectors:
Te: 0.750 0.250 0.500
Te: 0.250 0.750 0.500
Al: 0.351 0.351 0.299
Al: 0.649 0.649 0.701
La: 0.000 0.000 0.000

Results
**Theoretical density**: 5.381 g/cm3
**E**: -4.2262 eV per atom
**E_form (uncorrected)**: -2.44 eV/f.u.
**Calculated volume**: 27.66 Å³ per atom
**Energy relative to the lowest polymorph listed for this composition**: 67.6 meV/atom

***

No. 4
KTlTc2O8 | PBE-GGA | optimized geometry

abc: 6.691 6.709 8.011
angles: 54.11 65.32 60.09
Sites, in units of the cell vectors:
K: 0.500 0.500 0.500
Tl: 0.000 0.000 0.000
Tc: 0.297 0.218 0.188
Tc: 0.703 0.782 0.812
O: 0.862 0.555 0.721
O: 0.650 0.616 0.085
O: 0.138 0.445 0.279
O: 0.350 0.384 0.915
O: 0.564 0.016 0.276
O: 0.436 0.984 0.724
O: 0.143 0.016 0.276
O: 0.857 0.984 0.724

Results
**Theoretical density**: 3.793 g/cm3
**E**: -6.8167 eV per atom
**E_form (uncorrected)**: -17.94 eV/f.u.
**Calculated volume**: 20.71 Å³ per atom

***

No. 5
Ca2Sn3Hg2 | PBE-GGA | optimized geometry

abc: 3.671 4.811 11.070
angles: 102.55 90.00 90.00
Sites, in units of the cell vectors:
Ca: 0.000 0.846 0.693
Ca: 0.000 0.154 0.307
Sn: 0.500 0.573 0.146
Sn: 0.500 0.427 0.854
Sn: 0.000 0.000 0.000
Hg: 0.500 0.713 0.426
Hg: 0.500 0.287 0.574

Results
**Theoretical density**: 7.287 g/cm3
**E**: -2.7096 eV per atom
**Calculated volume**: 27.26 Å³ per atom

***

No. 6
Nd2Ho2Sc3 | PBE-GGA | optimized geometry

abc: 8.138 8.138 8.138
angles: 109.47 109.47 109.47
Sites, in units of the cell vectors:
Nd: 0.000 0.000 0.826
Nd: 0.500 0.826 0.500
Nd: 0.174 0.674 0.674
Nd: 0.326 0.500 0.000
Ho: 0.000 0.000 0.425
Ho: 0.500 0.425 0.500
Ho: 0.575 0.075 0.075
Ho: 0.925 0.500 0.000
Sc: 0.707 0.750 0.957
Sc: 0.793 0.250 0.543
Sc: 0.043 0.293 0.250
Sc: 0.457 0.207 0.750
Sc: 0.250 0.957 0.207
Sc: 0.750 0.543 0.293

Results
**Theoretical density**: 6.030 g/cm3
**E**: -5.1639 eV per atom
**Calculated volume**: 29.63 Å³ per atom
**Energy relative to the lowest polymorph listed for this composition**: 51.9 meV/atom